(1)
# BaIn4Ag2Ir

BaIn4Ag2Ir after structural relaxation (PBE-GGA, Alexandria via LeMat-Bulk).

The space group is R-3m (No. 166, hexagonal axes) and the conventional cell measures 4.7254, 4.7254 and 30.9276 Å, with angles of 90.00, 90.00 and 120.00 degrees. The asymmetric unit holds Ba at (0.0000, 0.0000, 0.0000), In at (0.0000, 0.0000, 0.1382), In at (0.0000, 0.0000, 0.4075), Ag at (0.0000, 0.0000, 0.2367) and Ir at (0.0000, 0.0000, 0.5000).

The raw total energy comes out at -86.33 eV for the cell shown.

(2)
# BaLa2In2Ag2

BaLa2In2Ag2 after structural relaxation (PBE-GGA, Alexandria via LeMat-Bulk).

The space group is R-3m (No. 166, hexagonal axes) and the conventional cell measures 5.0444, 5.0444 and 30.0119 Å, with angles of 90.00, 90.00 and 120.00 degrees. The asymmetric unit holds Ba at (0.0000, 0.0000, 0.0000), La at (0.0000, 0.0000, 0.1298), In at (0.0000, 0.0000, 0.2518) and Ag at (0.0000, 0.0000, 0.4140).

The raw total energy comes out at -75.80 eV for the cell shown.

(3)
# BaLi2InAg

BaLi2InAg after structural relaxation (PBE-GGA, Alexandria via LeMat-Bulk).

The space group is P4/mmm (No. 123) and the conventional cell measures 5.225, 5.225 and 5.310 Å, with angles of 90.00, 90.00 and 90.00 degrees. The asymmetric unit holds Ba at (0.000, 0.000, 0.000), Li at (0.000, 0.500, 0.500), In at (0.500, 0.500, 0.000) and Ag at (0.500, 0.500, 0.500).

The raw total energy comes out at -11.97 eV for the cell shown.

(4)
# BaLi4InAg2

BaLi4InAg2 after structural relaxation (PBE-GGA, Alexandria via LeMat-Bulk).

The space group is R-3m (No. 166, hexagonal axes) and the conventional cell measures 4.6432, 4.6432 and 29.2479 Å, with angles of 90.00, 90.00 and 120.00 degrees. The asymmetric unit holds Ba at (0.0000, 0.0000, 0.0000), Li at (0.0000, 0.0000, 0.1315), Li at (0.0000, 0.0000, 0.4094), In at (0.0000, 0.0000, 0.5000) and Ag at (0.0000, 0.0000, 0.2309).

The raw total energy comes out at -57.70 eV for the cell shown.

| no. | magnetic moment (μB/f.u.) | formation enthalpy at 0 K (eV/atom) |
| --- | --- | --- |
| 1 | 0.0 | -0.167 |
| 2 | 0.0 | -0.330 |
| 3 | 0.0 | -0.127 |
| 4 | 0.0 | -0.152 |